Material: NbAs2Pb2
Method: DFT, PBE
State: optimized geometry

Cell: 6.913 6.913 5.069 Å, 90.00 90.00 90.00°
Last column: magnetic moment on the atom in μB.
Positions (direct):
Pb: 0.175 0.675 0.500  0.01
Pb: 0.675 0.825 0.500  0.01
Pb: 0.825 0.325 0.500  0.01
Pb: 0.325 0.175 0.500  0.01
Nb: 0.000 0.000 0.000  0.77
Nb: 0.500 0.500 0.000  0.77
As: 0.351 0.851 0.000  -0.02
As: 0.851 0.649 0.000  -0.02
As: 0.649 0.149 0.000  -0.02
As: 0.149 0.351 0.000  -0.02

Values from the calculation:
N(E_F): 2.125 states/eV/f.u.
uncorrected energy: -52.69 eV per cell


Material: TlH2F4
Method: DFT, PBE
State: optimized geometry

Cell: 4.603 4.603 6.061 Å, 112.32 112.32 90.00°
Positions (direct):
Tl: 0.000 0.000 0.000
H: 0.639 0.639 0.279
H: 0.361 0.361 0.721
F: 0.732 0.732 0.463
F: 0.268 0.268 0.537
F: 0.000 0.500 0.000
F: 0.500 0.000 0.000

Values from the calculation:
N(E_F): 1.648 states/eV/f.u.
excess energy over the best structure of this formula in the dataset: 0.000 eV per formula unit
uncorrected energy: -27.30 eV per cell


Material: CeGa3Pt2
Method: DFT, PBE
State: optimized geometry

Cell: 6.025 6.025 7.944 Å, 67.72 67.72 60.00°
Last column: magnetic moment on the atom in μB.
Positions (direct):
Ce: 0.789 0.789 0.632  0.38
Ce: 0.211 0.211 0.368  0.38
Ga: 0.248 0.736 0.281  0.01
Ga: 0.736 0.248 0.281  0.01
Ga: 0.736 0.736 0.281  0.01
Ga: 0.264 0.752 0.719  0.01
Ga: 0.752 0.264 0.719  0.01
Ga: 0.264 0.264 0.719  0.01
Pt: 0.000 0.000 0.000  0.01
Pt: 0.000 0.500 0.000  0.00
Pt: 0.500 0.500 0.000  0.00
Pt: 0.500 0.000 0.000  0.00

Values from the calculation:
N(E_F): 6.332 states/eV/f.u.
uncorrected energy: -60.85 eV per cell


Material: CeNd2PN5
Method: DFT, PBE
State: optimized geometry

Cell: 6.735 6.735 7.168 Å, 118.02 118.02 90.00°
Last column: magnetic moment on the atom in μB.
Positions (direct):
Ce: 0.250 0.250 0.500  -0.24
Ce: 0.750 0.750 0.500  -0.24
Nd: 0.177 0.323 0.000  0.00
Nd: 0.677 0.177 0.000  0.00
Nd: 0.323 0.823 0.000  0.00
Nd: 0.823 0.677 0.000  0.00
P: 0.250 0.750 0.500  0.00
P: 0.750 0.250 0.500  0.00
N: 0.019 0.519 0.311  0.01
N: 0.708 0.208 0.689  0.01
N: 0.981 0.481 0.689  0.01
N: 0.208 0.981 0.689  0.01
N: 0.481 0.708 0.689  0.01
N: 0.792 0.019 0.311  0.01
N: 0.519 0.292 0.311  0.01
N: 0.292 0.792 0.311  0.01
N: 0.500 0.500 0.000  0.03
N: 0.000 0.000 0.000  0.03

Values from the calculation:
formation energy from raw total energies: -10.874 eV per formula unit
N(E_F): 0.012 states/eV/f.u.
uncorrected energy: -146.76 eV per cell


Material: Ho2PtPb
Method: DFT, PBE
State: optimized geometry

Cell: 3.542 3.542 7.855 Å, 90.00 90.00 90.00°
Positions (direct):
Pb: 0.500 0.500 0.500
Ho: 0.000 0.000 0.789
Ho: 0.000 0.000 0.211
Pt: 0.500 0.500 0.000

Values from the calculation:
N(E_F): 1.998 states/eV/f.u.
uncorrected energy: -22.30 eV per cell


Material: Na3MgZr
Method: DFT, PBE
State: optimized geometry

Cell: 6.097 6.097 6.097 Å, 90.00 90.00 90.00°
Last column: magnetic moment on the atom in μB.
Positions (direct):
Na: 0.000 0.500 0.000  0.05
Na: 0.000 0.000 0.500  0.04
Na: 0.500 0.000 0.000  0.06
Mg: 0.500 0.500 0.500  -0.01
Zr: 0.000 0.000 0.000  1.90

Values from the calculation:
N(E_F): 11.798 states/eV/f.u.
excess energy over the best structure of this formula in the dataset: 0.967 eV per formula unit
uncorrected energy: -7.99 eV per cell